ZnRu2N | the Alexandria database | PBE-GGA | optimized geometry; energy relative to the elements, uncorrected = 1.115 eV per atom; ΔE to the lowest computed polymorph = 828.6 meV per atom; total magnetic moment = 0.00 Bohr magnetons per cell
1.0
-1.046 -3.276 2.224
-0.222 0.280 4.080
-3.643 -0.130 1.867
Zn Ru N
1 2 1
direct
0.500 0.500 0.500 Zn
0.750 0.750 0.750 Ru
0.250 0.250 0.250 Ru
0.000 0.000 0.000 N